RbMg2H | Alexandria via LeMat-Bulk | GGA-PBE | optimized geometry; symmetry = Fd-3m, No. 227; offset from the most stable computed form = 0 meV per atom
1.0
-6.846 -0.842 0.371
0.744 -3.432 5.949
-3.434 2.064 5.631
H Mg Rb
2 4 2
Direct
0.500 0.500 0.000
0.250 0.750 0.500
0.375 0.125 0.250
0.375 0.625 0.250
0.375 0.625 0.750
0.875 0.625 0.750
0.000 0.000 0.000
0.750 0.250 0.500

***

Y2TcC2 | Alexandria via LeMat-Bulk | GGA-PBE | optimized geometry; symmetry = P4/mbm, No. 127; offset from the most stable computed form = 471 meV per atom; energy relative to the elements = 0.077 eV per atom
1.0
-1.488 -1.246 6.056
6.171 0.072 1.531
-0.209 3.532 0.675
Y C Tc
4 4 2
Direct
0.163 0.663 0.500
0.663 0.837 0.500
0.837 0.337 0.500
0.337 0.163 0.500
0.344 0.844 0.000
0.844 0.656 0.000
0.656 0.156 0.000
0.156 0.344 0.000
0.000 0.000 0.000
0.500 0.500 0.000

***

Th3AgSn | Alexandria via LeMat-Bulk | GGA-PBE | optimized geometry; symmetry = Cmmm, No. 65; energy relative to the elements = 0.130 eV per atom
1.0
4.884 0.000 0.000
0.000 7.971 0.000
0.000 -3.986 8.174
Th Ag Sn
6 2 2
Direct
0.500 0.323 0.000
0.000 0.830 0.661
0.500 0.677 0.000
0.500 0.500 0.500
0.000 0.170 0.339
0.500 0.000 0.500
0.500 0.082 0.165
0.500 0.918 0.835
0.000 0.631 0.262
0.000 0.369 0.738

***

HfRh3N | Alexandria via LeMat-Bulk | GGA-PBE | optimized geometry; symmetry = Pm-3m, No. 221; offset from the most stable computed form = 2313 meV per atom
1.0
-1.279 -3.578 -2.993
-2.135 -2.310 3.674
-4.147 2.292 -0.968
Rh Hf N
3 1 1
Direct
0.000 0.500 0.000
0.000 0.000 0.500
0.500 0.000 0.000
0.000 0.000 0.000
0.500 0.500 0.500

***

Rb2CaLaBr6 | Alexandria via LeMat-Bulk | GGA-PBE | optimized geometry; symmetry = Fm-3m, No. 225; raw total energy = -36.5 eV per cell
1.0
8.289 0.000 0.000
0.000 8.289 0.000
4.144 4.144 5.861
Ca Br Rb La
1 6 2 1
Direct
0.500 0.500 0.000
0.254 0.254 0.491
0.746 0.746 0.509
0.254 0.254 0.000
0.746 0.746 0.000
0.746 0.254 0.000
0.254 0.746 0.000
0.750 0.250 0.500
0.250 0.750 0.500
0.000 0.000 0.000

***

Number 2 is which compound?
Y2TcC2

***

What is the formula in the fourth record?
HfRh3N